(1)
# DyTm2

Crystalline DyTm2 at its relaxed geometry (PBE-GGA, OQMD).

calculated volume	432.91	Å³/cell
ΔH_f (0 K)	0.740	eV per atom

abc: 7.565 7.565 7.565
angles: 90.00 90.00 90.00
Space group Fm-3m (No. 225)
One atom of each set of equivalent atoms:
Dy  0.000  0.000  0.000 x4
Tm  0.250  0.250  0.250 x8

(2)
# HfScNO

Crystalline HfScNO at its relaxed geometry (PBE-GGA, OQMD).

final energy	-9.269	eV/atom
calculated volume	123.03	Å³/cell

abc: 4.055 4.055 7.484
angles: 90.00 90.00 90.00
Space group P4/nmm (No. 129, origin choice 2)
One atom of each set of equivalent atoms:
Hf  0.250  0.750  0.000 x2
Sc  0.250  0.250  0.411 x2
N  0.250  0.250  0.914 x2
O  0.250  0.750  0.500 x2

| no. | magnetic moment (μB/f.u.) |
| --- | --- |
| 1 | 0.0 |
| 2 | 0.0 |